Entry 1:
# ZrPtNF2, optimized geometry, DFT PBE-GGA
data_ZrPtNF2
_chemical_formula_sum 'Zr1 Pt1 N1 F2'
_symmetry_space_group_name_H-M 'P 4/m m m'
_symmetry_Int_Tables_number 123
_symmetry_space_group_name_Hall '-P 4 2'
_cell_length_a 4.6314
_cell_length_b 4.6314
_cell_length_c 3.6634
_cell_angle_alpha 90.00
_cell_angle_beta 90.00
_cell_angle_gamma 90.00
loop_
_atom_site_label
_atom_site_type_symbol
_atom_site_fract_x
_atom_site_fract_y
_atom_site_fract_z
Zr1 Zr 0.0000 0.0000 0.0000
Pt1 Pt 0.5000 0.5000 0.5000
N1 N 0.5000 0.5000 0.0000
F1 F 0.0000 0.5000 0.5000
# * energy relative to the elements, uncorrected: -0.159 eV/atom
# * E_tot: -27.45 eV/f.u.
# * density: 7.149 g/cm³
# * offset from the most stable computed form: 930.1 meV/atom



Entry 2:
# SrPbCl6, optimized geometry, DFT PBE-GGA
data_SrPbCl6
_chemical_formula_sum 'Sr2 Pb2 Cl12'
_symmetry_space_group_name_H-M 'C 1 2/m 1'
_symmetry_Int_Tables_number 12
_cell_length_a 6.9622
_cell_length_b 12.0649
_cell_length_c 6.7878
_cell_angle_alpha 90.00
_cell_angle_beta 105.44
_cell_angle_gamma 90.00
loop_
_symmetry_equiv_pos_as_xyz
'x,y,z'
'-x,-y,-z'
'-x,y,-z'
'x,-y,z'
'x+1/2,y+1/2,z'
'-x+1/2,-y+1/2,-z'
'-x+1/2,y+1/2,-z'
'x+1/2,-y+1/2,z'
loop_
_atom_site_label
_atom_site_type_symbol
_atom_site_fract_x
_atom_site_fract_y
_atom_site_fract_z
Sr1 Sr 0.0000 0.0000 0.0000
Pb1 Pb 0.0000 0.5000 0.5000
Cl1 Cl 0.2077 0.3504 0.7324
Cl2 Cl 0.2462 0.0000 0.7167
# * energy relative to the elements, uncorrected: -1.271 eV/atom
# * E_tot: -26.64 eV/f.u.
# * density: 3.067 g/cm³
# * offset from the most stable computed form: 7.9 meV/atom



Entry 3:
# Sc4PdPt2, optimized geometry, DFT PBE-GGA
data_Sc4PdPt2
_chemical_formula_sum 'Sc12 Pd3 Pt6'
_symmetry_space_group_name_H-M 'R -3 m'
_symmetry_Int_Tables_number 166
_symmetry_space_group_name_Hall '-R 3 2"'
_cell_length_a 4.6260
_cell_length_b 4.6260
_cell_length_c 22.4062
_cell_angle_alpha 90.00
_cell_angle_beta 90.00
_cell_angle_gamma 120.00
loop_
_atom_site_label
_atom_site_type_symbol
_atom_site_fract_x
_atom_site_fract_y
_atom_site_fract_z
Sc1 Sc 0.0000 0.0000 0.1217
Sc2 Sc 0.0000 0.0000 0.3722
Pd1 Pd 0.0000 0.0000 0.5000
Pt1 Pt 0.0000 0.0000 0.2491
# * E_tot: -49.73 eV/f.u.
# * density: 8.115 g/cm³



Entry 4:
# Cr6C3N, optimized geometry, DFT PBE-GGA
data_Cr6C3N
_chemical_formula_sum 'Cr12 C6 N2'
_symmetry_space_group_name_H-M 'C 1 2/m 1'
_symmetry_Int_Tables_number 12
_cell_length_a 9.2366
_cell_length_b 2.7950
_cell_length_c 6.9150
_cell_angle_alpha 90.00
_cell_angle_beta 91.47
_cell_angle_gamma 90.00
loop_
_symmetry_equiv_pos_as_xyz
'x,y,z'
'-x,-y,-z'
'-x,y,-z'
'x,-y,z'
'x+1/2,y+1/2,z'
'-x+1/2,-y+1/2,-z'
'-x+1/2,y+1/2,-z'
'x+1/2,-y+1/2,z'
loop_
_atom_site_label
_atom_site_type_symbol
_atom_site_fract_x
_atom_site_fract_y
_atom_site_fract_z
Cr1 Cr 0.0977 0.0000 0.2570
Cr2 Cr 0.1414 0.5000 0.9369
Cr3 Cr 0.1476 0.5000 0.5784
C1 C 0.0000 0.0000 0.0000
C2 C 0.2482 0.5000 0.2407
N1 N 0.0000 0.0000 0.5000
# * energy relative to the elements, uncorrected: -0.182 eV/atom
# * E_tot: -95.55 eV/f.u.
# * density: 6.737 g/cm³
# * offset from the most stable computed form: 0.0 meV/atom



Q: Which of these has the lowest E_tot?
A: Cr6C3N



Q: What is the E_tot in the first record?
A: -27.45 eV/f.u.



Q: Which of these has the lowest E_tot?
A: Cr6C3N



Q: The lowest density belongs to which entry?
A: SrPbCl6